(1)
Entry from the Alexandria database: Sr2NbSI after structural relaxation (PBE).

Output
Electronic total energy   -4.19 eV/atom
Energy relative to the elements, uncorrected   -367 meV per atom
Volume   177.4 Å³/cell
Total magnetic moment   0.83 μB/f.u.
Symmetry   P4/mmm

The structure in CIF format:
```
data_Sr2NbSI
_symmetry_space_group_name_H-M 'P 1'
_symmetry_Int_Tables_number 1
_cell_length_a 6.1455
_cell_length_b 6.1455
_cell_length_c 4.6961
_cell_angle_alpha 90.00
_cell_angle_beta 90.00
_cell_angle_gamma 90.00
loop_
_symmetry_equiv_pos_as_xyz
'x,y,z'
loop_
_atom_site_label
_atom_site_type_symbol
_atom_site_fract_x
_atom_site_fract_y
_atom_site_fract_z
_atom_site_occupancy
Sr1 Sr 0.0000 0.5000 0.0000 1
Sr2 Sr 0.5000 0.0000 0.0000 1
Nb1 Nb 0.0000 0.0000 0.0000 1
S1 S 0.0000 0.0000 0.5000 1
I1 I 0.5000 0.5000 0.5000 1
```



(2)
Entry from the Alexandria database: Ta2NbS6I2 after structural relaxation (PBE).

Output
Electronic total energy   -6.44 eV/atom
Energy relative to the elements, uncorrected   -832 meV per atom
Volume   303.0 Å³/cell
Total magnetic moment   0.00 μB/f.u.
Symmetry   C2/m

The structure in CIF format:
```
data_Ta2NbS6I2
_symmetry_space_group_name_H-M 'P 1'
_symmetry_Int_Tables_number 1
_cell_length_a 5.8562
_cell_length_b 5.8562
_cell_length_c 10.3357
_cell_angle_alpha 94.63
_cell_angle_beta 94.63
_cell_angle_gamma 119.97
loop_
_symmetry_equiv_pos_as_xyz
'x,y,z'
loop_
_atom_site_label
_atom_site_type_symbol
_atom_site_fract_x
_atom_site_fract_y
_atom_site_fract_z
_atom_site_occupancy
Ta1 Ta 0.1667 0.8333 0.0000 1
Ta2 Ta 0.8333 0.1667 0.0000 1
Nb1 Nb 0.5000 0.5000 0.0000 1
S1 S 0.1206 0.4575 0.8494 1
S2 S 0.2063 0.2063 0.1510 1
S3 S 0.4575 0.1206 0.8494 1
S4 S 0.5425 0.8794 0.1506 1
S5 S 0.7937 0.7937 0.8490 1
S6 S 0.8794 0.5425 0.1506 1
I1 I 0.2770 0.7230 0.5000 1
I2 I 0.7230 0.2770 0.5000 1
```



(3)
Entry from the Alexandria database: NbTeSI2 after structural relaxation (PBE).

Output
Electronic total energy   -3.62 eV/atom
Energy relative to the elements, uncorrected   468 meV per atom
Volume   161.9 Å³/cell
Total magnetic moment   0.15 μB/f.u.
Polymorph energy (0 for the lowest one)   0 meV/atom
Symmetry   P4/mmm

The structure in CIF format:
```
data_NbTeSI2
_symmetry_space_group_name_H-M 'P 1'
_symmetry_Int_Tables_number 1
_cell_length_a 5.4477
_cell_length_b 5.4477
_cell_length_c 5.4563
_cell_angle_alpha 90.00
_cell_angle_beta 90.00
_cell_angle_gamma 90.00
loop_
_symmetry_equiv_pos_as_xyz
'x,y,z'
loop_
_atom_site_label
_atom_site_type_symbol
_atom_site_fract_x
_atom_site_fract_y
_atom_site_fract_z
_atom_site_occupancy
Nb1 Nb 0.0000 0.0000 0.0000 1
Te1 Te 0.0000 0.0000 0.5000 1
S1 S 0.5000 0.5000 0.5000 1
I1 I 0.0000 0.5000 0.0000 1
I2 I 0.5000 0.0000 0.0000 1
```



(4)
Entry from the Alexandria database: NbTeSI2 after structural relaxation (PBE).

Output
Electronic total energy   -3.11 eV/atom
Energy relative to the elements, uncorrected   975 meV per atom
Volume   155.7 Å³/cell
Total magnetic moment   2.65 μB/f.u.
Polymorph energy (0 for the lowest one)   507 meV/atom
Symmetry   P4/mmm

The structure in CIF format:
```
data_NbTeSI2
_symmetry_space_group_name_H-M 'P 1'
_symmetry_Int_Tables_number 1
_cell_length_a 5.4349
_cell_length_b 5.4349
_cell_length_c 5.2706
_cell_angle_alpha 90.00
_cell_angle_beta 90.00
_cell_angle_gamma 90.00
loop_
_symmetry_equiv_pos_as_xyz
'x,y,z'
loop_
_atom_site_label
_atom_site_type_symbol
_atom_site_fract_x
_atom_site_fract_y
_atom_site_fract_z
_atom_site_occupancy
Nb1 Nb 0.0000 0.0000 0.0000 1
Te1 Te 0.5000 0.5000 0.0000 1
S1 S 0.5000 0.5000 0.5000 1
I1 I 0.0000 0.5000 0.5000 1
I2 I 0.5000 0.0000 0.5000 1
```



(5)
Entry from the Alexandria database: NbVS2I after structural relaxation (PBE).

Output
Electronic total energy   -4.15 eV/atom
Energy relative to the elements, uncorrected   1652 meV per atom
Volume   139.2 Å³/cell
Total magnetic moment   6.99 μB/f.u.
Symmetry   P4/mmm

The structure in CIF format:
```
data_NbVS2I
_symmetry_space_group_name_H-M 'P 1'
_symmetry_Int_Tables_number 1
_cell_length_a 5.3215
_cell_length_b 5.3215
_cell_length_c 4.9167
_cell_angle_alpha 90.00
_cell_angle_beta 90.00
_cell_angle_gamma 90.00
loop_
_symmetry_equiv_pos_as_xyz
'x,y,z'
loop_
_atom_site_label
_atom_site_type_symbol
_atom_site_fract_x
_atom_site_fract_y
_atom_site_fract_z
_atom_site_occupancy
Nb1 Nb 0.0000 0.0000 0.0000 1
V1 V 0.5000 0.5000 0.0000 1
S1 S 0.0000 0.5000 0.5000 1
S2 S 0.5000 0.0000 0.5000 1
I1 I 0.5000 0.5000 0.5000 1
```



(6)
Entry from the Alexandria database: Zr2NbSI after structural relaxation (PBE).

Output
Electronic total energy   -5.75 eV/atom
Energy relative to the elements, uncorrected   821 meV per atom
Volume   139.6 Å³/cell
Total magnetic moment   0.00 μB/f.u.
Symmetry   P4/mmm

The structure in CIF format:
```
data_Zr2NbSI
_symmetry_space_group_name_H-M 'P 1'
_symmetry_Int_Tables_number 1
_cell_length_a 5.2098
_cell_length_b 5.2098
_cell_length_c 5.1424
_cell_angle_alpha 90.00
_cell_angle_beta 90.00
_cell_angle_gamma 90.00
loop_
_symmetry_equiv_pos_as_xyz
'x,y,z'
loop_
_atom_site_label
_atom_site_type_symbol
_atom_site_fract_x
_atom_site_fract_y
_atom_site_fract_z
_atom_site_occupancy
Zr1 Zr 0.0000 0.5000 0.0000 1
Zr2 Zr 0.5000 0.0000 0.0000 1
Nb1 Nb 0.0000 0.0000 0.0000 1
S1 S 0.5000 0.5000 0.5000 1
I1 I 0.0000 0.0000 0.5000 1
```



(7)
Entry from the Alexandria database: Nb2SbI after structural relaxation (PBE).

Output
Electronic total energy   -5.53 eV/atom
Energy relative to the elements, uncorrected   920 meV per atom
Volume   192.4 Å³/cell
Total magnetic moment   0.00 μB/f.u.
Symmetry   I-42d

The structure in CIF format:
```
data_Nb2SbI
_symmetry_space_group_name_H-M 'P 1'
_symmetry_Int_Tables_number 1
_cell_length_a 6.3533
_cell_length_b 6.3533
_cell_length_c 6.3533
_cell_angle_alpha 104.52
_cell_angle_beta 104.52
_cell_angle_gamma 119.91
loop_
_symmetry_equiv_pos_as_xyz
'x,y,z'
loop_
_atom_site_label
_atom_site_type_symbol
_atom_site_fract_x
_atom_site_fract_y
_atom_site_fract_z
_atom_site_occupancy
Nb1 Nb 0.1055 0.6250 0.9805 1
Nb2 Nb 0.3750 0.3555 0.4805 1
Nb3 Nb 0.6445 0.1250 0.0195 1
Nb4 Nb 0.8750 0.8945 0.5195 1
Sb1 Sb 0.0000 0.0000 0.0000 1
Sb2 Sb 0.7500 0.2500 0.5000 1
I1 I 0.2500 0.7500 0.5000 1
I2 I 0.5000 0.5000 0.0000 1
```



(8)
Entry from the Alexandria database: NbSbI3 after structural relaxation (PBE).

Output
Electronic total energy   -2.84 eV/atom
Energy relative to the elements, uncorrected   927 meV per atom
Volume   216.4 Å³/cell
Total magnetic moment   4.16 μB/f.u.
Polymorph energy (0 for the lowest one)   548 meV/atom
Symmetry   Pm-3m

The structure in CIF format:
```
data_NbSbI3
_symmetry_space_group_name_H-M 'P 1'
_symmetry_Int_Tables_number 1
_cell_length_a 6.0039
_cell_length_b 6.0039
_cell_length_c 6.0039
_cell_angle_alpha 90.00
_cell_angle_beta 90.00
_cell_angle_gamma 90.00
loop_
_symmetry_equiv_pos_as_xyz
'x,y,z'
loop_
_atom_site_label
_atom_site_type_symbol
_atom_site_fract_x
_atom_site_fract_y
_atom_site_fract_z
_atom_site_occupancy
Nb1 Nb 0.0000 0.0000 0.0000 1
Sb1 Sb 0.5000 0.5000 0.5000 1
I1 I 0.0000 0.5000 0.5000 1
I2 I 0.5000 0.0000 0.5000 1
I3 I 0.5000 0.5000 0.0000 1
```



(9)
Entry from the Alexandria database: NbSbI3 after structural relaxation (PBE).

Output
Electronic total energy   -3.39 eV/atom
Energy relative to the elements, uncorrected   380 meV per atom
Volume   189.6 Å³/cell
Total magnetic moment   5.00 μB/f.u.
Polymorph energy (0 for the lowest one)   0 meV/atom
Symmetry   Pm-3m

The structure in CIF format:
```
data_NbSbI3
_symmetry_space_group_name_H-M 'P 1'
_symmetry_Int_Tables_number 1
_cell_length_a 5.7447
_cell_length_b 5.7447
_cell_length_c 5.7447
_cell_angle_alpha 90.00
_cell_angle_beta 90.00
_cell_angle_gamma 90.00
loop_
_symmetry_equiv_pos_as_xyz
'x,y,z'
loop_
_atom_site_label
_atom_site_type_symbol
_atom_site_fract_x
_atom_site_fract_y
_atom_site_fract_z
_atom_site_occupancy
Nb1 Nb 0.0000 0.0000 0.0000 1
Sb1 Sb 0.5000 0.5000 0.5000 1
I1 I 0.0000 0.0000 0.5000 1
I2 I 0.0000 0.5000 0.0000 1
I3 I 0.5000 0.0000 0.0000 1
```



(10)
Entry from the Alexandria database: NbSbI2 after structural relaxation (PBE).

Output
Electronic total energy   -4.18 eV/atom
Energy relative to the elements, uncorrected   140 meV per atom
Volume   283.2 Å³/cell
Total magnetic moment   1.05 μB/f.u.
Polymorph energy (0 for the lowest one)   0 meV/atom
Symmetry   I-42d

The structure in CIF format:
```
data_NbSbI2
_symmetry_space_group_name_H-M 'P 1'
_symmetry_Int_Tables_number 1
_cell_length_a 7.6992
_cell_length_b 7.6992
_cell_length_c 7.6992
_cell_angle_alpha 97.24
_cell_angle_beta 97.24
_cell_angle_gamma 138.41
loop_
_symmetry_equiv_pos_as_xyz
'x,y,z'
loop_
_atom_site_label
_atom_site_type_symbol
_atom_site_fract_x
_atom_site_fract_y
_atom_site_fract_z
_atom_site_occupancy
Nb1 Nb 0.0000 0.0000 0.0000 1
Nb2 Nb 0.7500 0.2500 0.5000 1
Sb1 Sb 0.2500 0.7500 0.5000 1
Sb2 Sb 0.5000 0.5000 0.0000 1
I1 I 0.3750 0.2348 0.3598 1
I2 I 0.7652 0.1250 0.1402 1
I3 I 0.8750 0.0152 0.6402 1
I4 I 0.9848 0.6250 0.8598 1
```



(11)
Entry from the Alexandria database: Nb3SbI after structural relaxation (PBE).

Output
Electronic total energy   -5.69 eV/atom
Energy relative to the elements, uncorrected   1489 meV per atom
Volume   126.9 Å³/cell
Total magnetic moment   0.00 μB/f.u.
Polymorph energy (0 for the lowest one)   0 meV/atom
Symmetry   Pm-3m

The structure in CIF format:
```
data_Nb3SbI
_symmetry_space_group_name_H-M 'P 1'
_symmetry_Int_Tables_number 1
_cell_length_a 5.0255
_cell_length_b 5.0255
_cell_length_c 5.0255
_cell_angle_alpha 90.00
_cell_angle_beta 90.00
_cell_angle_gamma 90.00
loop_
_symmetry_equiv_pos_as_xyz
'x,y,z'
loop_
_atom_site_label
_atom_site_type_symbol
_atom_site_fract_x
_atom_site_fract_y
_atom_site_fract_z
_atom_site_occupancy
Nb1 Nb 0.0000 0.0000 0.5000 1
Nb2 Nb 0.0000 0.5000 0.0000 1
Nb3 Nb 0.5000 0.0000 0.0000 1
Sb1 Sb 0.5000 0.5000 0.5000 1
I1 I 0.0000 0.0000 0.0000 1
```



(12)
Entry from the Alexandria database: NbSbI2 after structural relaxation (PBE).

Output
Electronic total energy   -3.66 eV/atom
Energy relative to the elements, uncorrected   663 meV per atom
Volume   100.3 Å³/cell
Total magnetic moment   0.00 μB/f.u.
Polymorph energy (0 for the lowest one)   523 meV/atom
Symmetry   Fm-3m

The structure in CIF format:
```
data_NbSbI2
_symmetry_space_group_name_H-M 'P 1'
_symmetry_Int_Tables_number 1
_cell_length_a 5.2149
_cell_length_b 5.2149
_cell_length_c 5.2149
_cell_angle_alpha 60.00
_cell_angle_beta 60.00
_cell_angle_gamma 60.00
loop_
_symmetry_equiv_pos_as_xyz
'x,y,z'
loop_
_atom_site_label
_atom_site_type_symbol
_atom_site_fract_x
_atom_site_fract_y
_atom_site_fract_z
_atom_site_occupancy
Nb1 Nb 0.0000 0.0000 0.0000 1
Sb1 Sb 0.5000 0.5000 0.5000 1
I1 I 0.2500 0.2500 0.2500 1
I2 I 0.7500 0.7500 0.7500 1
```



What did the sixth record say?
Entry from the Alexandria database: Zr2NbSI after structural relaxation (PBE).

Output
Electronic total energy   -5.75 eV/atom
Energy relative to the elements, uncorrected   821 meV per atom
Volume   139.6 Å³/cell
Total magnetic moment   0.00 μB/f.u.
Symmetry   P4/mmm

The structure in CIF format:
```
data_Zr2NbSI
_symmetry_space_group_name_H-M 'P 1'
_symmetry_Int_Tables_number 1
_cell_length_a 5.2098
_cell_length_b 5.2098
_cell_length_c 5.1424
_cell_angle_alpha 90.00
_cell_angle_beta 90.00
_cell_angle_gamma 90.00
loop_
_symmetry_equiv_pos_as_xyz
'x,y,z'
loop_
_atom_site_label
_atom_site_type_symbol
_atom_site_fract_x
_atom_site_fract_y
_atom_site_fract_z
_atom_site_occupancy
Zr1 Zr 0.0000 0.5000 0.0000 1
Zr2 Zr 0.5000 0.0000 0.0000 1
Nb1 Nb 0.0000 0.0000 0.0000 1
S1 S 0.5000 0.5000 0.5000 1
I1 I 0.0000 0.0000 0.5000 1
```